Computed, not measured: a relaxed Si3AuBr crystal at the PBEsol level of DFT.

Cell: 4.8767 4.8767 4.8767 Å, 90.00 90.00 90.00°
Space group Pm-3m (No. 221)
Inequivalent atoms, fractional coordinates:
1 Si 0.0000 0.0000 0.5000 (multiplicity 3)
2 Au 0.0000 0.0000 0.0000 (multiplicity 1)
3 Br 0.5000 0.5000 0.5000 (multiplicity 1)

Output
The formation energy (no corrections) is 0.834 eV per atom.

***

Computed, not measured: a relaxed SiAuBr2 crystal at the PBEsol level of DFT.

Cell: 3.4808 3.4808 6.8179 Å, 90.00 90.00 90.00°
Space group P4/mmm (No. 123)
Inequivalent atoms, fractional coordinates:
1 Si 0.0000 0.0000 0.0000 (multiplicity 1)
2 Au 0.0000 0.0000 0.5000 (multiplicity 1)
3 Br 0.5000 0.5000 0.2413 (multiplicity 2)

Output
The formation energy (no corrections) is 0.446 eV per atom. The energy above the most stable polymorph in this dataset is 638 meV per atom.

***

Computed, not measured: a relaxed SiAu2Br crystal at the PBEsol level of DFT.

Cell: 2.7526 3.4446 8.1421 Å, 90.00 90.00 90.00°
Space group Pmmm (No. 47)
Inequivalent atoms, fractional coordinates:
1 Si 0.0000 0.0000 0.0000 (multiplicity 1)
2 Au 0.5000 0.5000 0.1914 (multiplicity 2)
3 Br 0.0000 0.0000 0.5000 (multiplicity 1)

Output
The formation energy (no corrections) is 0.247 eV per atom. The energy above the most stable polymorph in this dataset is 0 meV per atom.

***

Computed, not measured: a relaxed SiAuBr2 crystal at the PBEsol level of DFT.

Cell: 3.6431 3.6431 24.0707 Å, 90.00 90.00 120.00°
Space group R3m (No. 160, hexagonal axes)
Inequivalent atoms, fractional coordinates:
1 Si 0.0000 0.0000 0.0000 (multiplicity 3)
2 Au 0.0000 0.0000 0.7216 (multiplicity 3)
3 Br 0.0000 0.0000 0.2599 (multiplicity 3)
4 Br 0.0000 0.0000 0.4625 (multiplicity 3)

Output
The formation energy (no corrections) is -0.192 eV per atom. The energy above the most stable polymorph in this dataset is 0 meV per atom.

***

Computed, not measured: a relaxed SiAu2Br crystal at the PBEsol level of DFT.

Cell: 3.8859 3.8859 5.1478 Å, 90.00 90.00 90.00°
Space group P4/mmm (No. 123)
Inequivalent atoms, fractional coordinates:
1 Si 0.0000 0.0000 0.0000 (multiplicity 1)
2 Au 0.0000 0.5000 0.5000 (multiplicity 2)
3 Br 0.5000 0.5000 0.0000 (multiplicity 1)

Output
The formation energy (no corrections) is 0.440 eV per atom. The energy above the most stable polymorph in this dataset is 193 meV per atom.

***

Computed, not measured: a relaxed SnAuBr3 crystal at the PBEsol level of DFT.

Cell: 5.4464 5.4464 5.4464 Å, 90.00 90.00 90.00°
Space group Pm-3m (No. 221)
Inequivalent atoms, fractional coordinates:
1 Sn 0.0000 0.0000 0.0000 (multiplicity 1)
2 Au 0.5000 0.5000 0.5000 (multiplicity 1)
3 Br 0.0000 0.0000 0.5000 (multiplicity 3)

Output
The formation energy (no corrections) is 0.136 eV per atom.

***

Computed, not measured: a relaxed SrAu2Br crystal at the PBEsol level of DFT.

Cell: 3.8153 3.8153 7.1631 Å, 90.00 90.00 90.00°
Space group P4mm (No. 99)
Inequivalent atoms, fractional coordinates:
1 Sr 0.0000 0.0000 0.0000 (multiplicity 1)
2 Au 0.0000 0.0000 0.3907 (multiplicity 1)
3 Au 0.5000 0.5000 0.3383 (multiplicity 1)
4 Br 0.5000 0.5000 0.8006 (multiplicity 1)

Output
The formation energy (no corrections) is -0.745 eV per atom. The energy above the most stable polymorph in this dataset is 0 meV per atom.

***

Computed, not measured: a relaxed SrAu2Br crystal at the PBEsol level of DFT.

Cell: 5.7309 5.8198 5.8206 Å, 90.00 90.00 90.00°
Space group Cmmm (No. 65)
Inequivalent atoms, fractional coordinates:
1 Sr 0.0000 0.0000 0.0000 (multiplicity 2)
2 Au 0.0000 0.2472 0.5000 (multiplicity 4)
3 Br 0.0000 0.5000 0.0000 (multiplicity 2)

Output
The formation energy (no corrections) is -0.686 eV per atom. The energy above the most stable polymorph in this dataset is 59 meV per atom.

***

In the order shown, the computed calculated total energy values come out to -3.77; -2.91; -3.62; -3.54; -3.43; -2.62; -3.63; -3.58 eV per atom.